First-principles (GGA-PBEsol) data for crystalline AlPRh2I at its relaxed geometry, as listed in the Alexandria database.

Cell lengths 4.4389, 4.4389, 4.7528 Å; angles 90.00, 90.00, 90.00 degrees
With the nearest neighbours (Å) after each atom.
Space group P4/mmm (No. 123)
Inequivalent atoms, fractional coordinates:
Al 0.0000 0.0000 0.0000 [1 per cell]  2 P 2.38
P 0.0000 0.0000 0.5000 [1 per cell]  4 Rh 2.22, 2 Al 2.38
Rh 0.0000 0.5000 0.5000 [2 per cell]  2 P 2.22
I 0.5000 0.5000 0.0000 [1 per cell]  4 Al 3.14, 8 Rh 3.25

## Properties
For the total magnetization, the calculation gives 0.00 Bohr magnetons per cell. The value obtained for the uncorrected formation energy is 25 kJ/mol of atoms. For the total energy, the calculation gives -26.65 eV per cell.